(1)
A plane-wave DFT calculation with PBE-GGA was carried out for TlPb after structural relaxation.

Unit cell a=4.726 b=5.162 c=5.097 alpha=90.00 beta=90.00 gamma=90.00
Space group Cmmm (No. 65)
Symmetry-distinct sites (fractional):
1 Tl 0.000 0.000 0.000 (multiplicity 2)
2 Pb 0.000 0.500 0.500 (multiplicity 2)

Theoretical density = 10.99 Mg/m³
DFT total energy = -3.04 eV/atom
Crystal system = orthorhombic
ΔH_f (0 K) = -0.02 kcal/mol of atoms


(2)
A plane-wave DFT calculation with PBE-GGA was carried out for UTaCo6 after structural relaxation.

Unit cell a=7.387 b=10.447 c=10.447 alpha=90.00 beta=90.00 gamma=90.00
Space group Cmmm (No. 65)
Symmetry-distinct sites (fractional):
1 U 0.000 0.000 0.244 (multiplicity 4)
2 U 0.000 0.253 0.500 (multiplicity 4)
3 Ta 0.000 0.252 0.000 (multiplicity 4)
4 Ta 0.000 0.500 0.247 (multiplicity 4)
5 Co 0.000 0.000 0.000 (multiplicity 2)
6 Co 0.000 0.000 0.500 (multiplicity 2)
7 Co 0.000 0.250 0.248 (multiplicity 8)
8 Co 0.000 0.500 0.000 (multiplicity 2)
9 Co 0.000 0.500 0.500 (multiplicity 2)
10 Co 0.249 0.375 0.123 (multiplicity 16)
11 Co 0.250 0.125 0.374 (multiplicity 16)

Theoretical density = 12.73 Mg/m³
DFT total energy = -8.48 eV/atom
Crystal system = orthorhombic
ΔH_f (0 K) = -5.96 kcal/mol of atoms


(3)
A plane-wave DFT calculation with PBE-GGA was carried out for FeSiP2 after structural relaxation.

Unit cell a=4.949 b=6.687 c=3.946 alpha=90.00 beta=120.66 gamma=90.00
Space group C2/m (No. 12)
Symmetry-distinct sites (fractional):
1 Fe 0.000 0.000 0.000 (multiplicity 2)
2 Si 0.000 0.500 0.000 (multiplicity 2)
3 P 0.250 0.250 0.500 (multiplicity 4)

Theoretical density = 4.31 Mg/m³
Energy relative to the elements, uncorrected = 201 meV/atom
DFT total energy = -5.98 eV/atom
Crystal system = monoclinic


(4)
A plane-wave DFT calculation with PBE-GGA was carried out for Dy2Ag after structural relaxation.

Unit cell a=6.958 b=5.083 c=9.108 alpha=90.00 beta=90.00 gamma=90.00
Space group Pnma (No. 62)
Symmetry-distinct sites (fractional):
1 Dy 0.015 0.250 0.187 (multiplicity 4)
2 Dy 0.154 0.250 0.579 (multiplicity 4)
3 Ag 0.235 0.250 0.900 (multiplicity 4)

Theoretical density = 8.93 Mg/m³
DFT total energy = -4.22 eV/atom
Crystal system = orthorhombic
ΔH_f (0 K) = -4.58 kcal/mol of atoms


(5)
A plane-wave DFT calculation with PBE-GGA was carried out for Ta2MnTc after structural relaxation.

Unit cell a=3.132 b=3.132 c=6.251 alpha=90.00 beta=90.00 gamma=90.00
Space group P4/mmm (No. 123)
Symmetry-distinct sites (fractional):
1 Ta 0.000 0.000 0.243 (multiplicity 2)
2 Mn 0.500 0.500 0.000 (multiplicity 1)
3 Tc 0.500 0.500 0.500 (multiplicity 1)

Theoretical density = 13.94 Mg/m³
DFT total energy = -11.16 eV/atom
Crystal system = tetragonal
ΔH_f (0 K) = -8.13 kcal/mol of atoms


(6)
A plane-wave DFT calculation with PBE-GGA was carried out for NaSmHoAl after structural relaxation.

Unit cell a=7.529 b=7.529 c=7.529 alpha=90.00 beta=90.00 gamma=90.00
Space group F-43m (No. 216)
Symmetry-distinct sites (fractional):
1 Na 0.000 0.000 0.000 (multiplicity 4)
2 Sm 0.250 0.250 0.250 (multiplicity 4)
3 Ho 0.250 0.250 0.750 (multiplicity 4)
4 Al 0.000 0.000 0.500 (multiplicity 4)

Theoretical density = 5.68 Mg/m³
DFT total energy = -3.63 eV/atom
Crystal system = cubic
ΔH_f (0 K) = -0.90 kcal/mol of atoms


(7)
A plane-wave DFT calculation with PBE-GGA was carried out for CuHg3Cl2F6 after structural relaxation.

Unit cell a=11.631 b=7.209 c=5.554 alpha=90.00 beta=94.01 gamma=90.00
Space group C2/m (No. 12)
Symmetry-distinct sites (fractional):
1 Cu 0.000 0.000 0.000 (multiplicity 2)
2 Hg 0.000 0.500 0.500 (multiplicity 2)
3 Hg 0.250 0.250 0.000 (multiplicity 4)
4 Cl 0.189 0.500 0.369 (multiplicity 4)
5 F 0.081 0.232 0.814 (multiplicity 8)
6 F 0.140 0.000 0.188 (multiplicity 4)

Theoretical density = 6.08 Mg/m³
Energy relative to the elements, uncorrected = -1185 meV/atom
DFT total energy = -2.85 eV/atom
Crystal system = monoclinic


(8)
A plane-wave DFT calculation with PBE-GGA was carried out for KPt after structural relaxation.

Unit cell a=9.628 b=9.628 c=9.628 alpha=90.00 beta=90.00 gamma=90.00
Space group I-43m (No. 217)
Symmetry-distinct sites (fractional):
1 K 0.207 0.207 0.207 (multiplicity 8)
2 Pt 0.098 0.098 0.902 (multiplicity 8)

Theoretical density = 3.49 Mg/m³
DFT total energy = -3.08 eV/atom
Crystal system = cubic
ΔH_f (0 K) = 11.27 kcal/mol of atoms


(9)
A plane-wave DFT calculation with PBE-GGA was carried out for AcPuSbO2 after structural relaxation.

Unit cell a=4.033 b=4.033 c=13.615 alpha=90.00 beta=90.00 gamma=90.00
Space group I4mm (No. 107)
Symmetry-distinct sites (fractional):
1 Ac 0.000 0.000 0.000 (multiplicity 2)
2 Pu 0.000 0.000 0.313 (multiplicity 2)
3 Sb 0.000 0.000 0.666 (multiplicity 2)
4 O 0.000 0.500 0.396 (multiplicity 4)

Theoretical density = 9.37 Mg/m³
Energy relative to the elements, uncorrected = -2413 meV/atom
DFT total energy = -8.91 eV/atom
Crystal system = tetragonal


(10)
A plane-wave DFT calculation with PBE-GGA was carried out for La6Ge2SeS3 after structural relaxation.

Unit cell a=18.637 b=4.307 c=8.544 alpha=90.00 beta=102.60 gamma=90.00
Space group C2/m (No. 12)
Symmetry-distinct sites (fractional):
1 La 0.001 0.000 0.258 (multiplicity 4)
2 La 0.166 0.500 0.584 (multiplicity 4)
3 La 0.169 0.500 0.085 (multiplicity 4)
4 Ge 0.165 0.000 0.330 (multiplicity 4)
5 Se 0.000 0.500 0.000 (multiplicity 2)
6 S 0.000 0.500 0.500 (multiplicity 2)
7 S 0.166 0.000 0.834 (multiplicity 4)

Theoretical density = 5.73 Mg/m³
Energy relative to the elements, uncorrected = -1718 meV/atom
DFT total energy = -6.27 eV/atom
Crystal system = monoclinic


(11)
A plane-wave DFT calculation with PBE-GGA was carried out for ZnGaH after structural relaxation.

Unit cell a=3.780 b=3.780 c=6.119 alpha=90.00 beta=90.00 gamma=90.00
Space group I4mm (No. 107)
Symmetry-distinct sites (fractional):
1 Zn 0.000 0.000 0.000 (multiplicity 2)
2 Ga 0.000 0.000 0.429 (multiplicity 2)
3 H 0.000 0.000 0.716 (multiplicity 2)

Theoretical density = 5.17 Mg/m³
DFT total energy = -2.21 eV/atom
Crystal system = tetragonal


(12)
A plane-wave DFT calculation with PBE-GGA was carried out for CrCoCu2 after structural relaxation.

Unit cell a=8.304 b=2.479 c=4.539 alpha=90.00 beta=98.12 gamma=90.00
Space group Cm (No. 8)
Symmetry-distinct sites (fractional):
1 Cr 0.000 0.000 0.000 (multiplicity 2)
2 Co 0.252 0.000 0.800 (multiplicity 2)
3 Cu 0.004 0.500 0.511 (multiplicity 2)
4 Cu 0.254 0.500 0.288 (multiplicity 2)

Theoretical density = 8.55 Mg/m³
DFT total energy = -5.99 eV/atom
Crystal system = monoclinic
ΔH_f (0 K) = 5.46 kcal/mol of atoms


(13)
A plane-wave DFT calculation with PBE-GGA was carried out for YCoC2 after structural relaxation.

Unit cell a=5.657 b=5.657 c=5.657 alpha=90.00 beta=90.00 gamma=90.00
Space group Fm-3m (No. 225)
Symmetry-distinct sites (fractional):
1 Y 0.000 0.000 0.000 (multiplicity 4)
2 Co 0.000 0.000 0.500 (multiplicity 4)
3 C 0.250 0.250 0.250 (multiplicity 8)

Theoretical density = 6.31 Mg/m³
DFT total energy = -7.06 eV/atom
Crystal system = cubic
ΔH_f (0 K) = 21.87 kcal/mol of atoms